Here is an optimized crystal structure of LiAl2 from the Alexandria database. Energies are from GGA-PBEsol.

a = 5.3651 Å, b = 5.3651 Å, c = 5.3651 Å
α = 60.00°, β = 60.00°, γ = 60.00°
Sites, in units of the cell vectors:
Al 0.1250 0.1250 0.1250
Al 0.1250 0.1250 0.6250
Al 0.1250 0.6250 0.1250
Al 0.6250 0.1250 0.1250
Li 0.5000 0.5000 0.5000
Li 0.7500 0.7500 0.7500

As for the relative energy among the computed polymorphs: 80.6 meV per atom. The calculation puts the size of the total moment at 0.00 μB/atom. The space group is Fd-3m, No. 227. As for the formation energy: -4 kJ/mol of formula units.



Here is an optimized crystal structure of Cu4SiGe3O12 from the Alexandria database. Energies are from GGA-PBEsol.

a = 2.9172 Å, b = 4.8871 Å, c = 16.5168 Å
α = 90.00°, β = 90.00°, γ = 90.00°
Sites, in units of the cell vectors:
Cu 0.0000 0.5115 0.8755
Cu 0.0000 0.4999 0.3750
Cu 0.0000 0.5115 0.1245
Cu 0.0000 0.4999 0.6250
Si 0.5000 0.9113 0.0000
Ge 0.5000 0.9282 0.5000
Ge 0.5000 0.0782 0.7515
Ge 0.5000 0.0782 0.2485
O 0.5000 0.7248 0.9178
O 0.5000 0.7222 0.4126
O 0.5000 0.2883 0.8377
O 0.5000 0.2777 0.3371
O 0.5000 0.7248 0.0822
O 0.5000 0.7222 0.5874
O 0.5000 0.2777 0.6629
O 0.5000 0.2883 0.1623
O 0.0000 0.0810 0.0000
O 0.0000 0.1372 0.5000
O 0.0000 0.8687 0.7528
O 0.0000 0.8687 0.2472

The calculation puts the formation energy from raw total energies at -1.325 eV per atom. The calculation puts the size of the total moment at 0.18 μB/atom. The space group is Pmm2, No. 25.



Here is an optimized crystal structure of Mn3SbP from the Alexandria database. Energies are from GGA-PBEsol.

a = 4.2971 Å, b = 4.2971 Å, c = 4.2971 Å
α = 90.00°, β = 90.00°, γ = 90.00°
Sites, in units of the cell vectors:
Sb 0.5000 0.5000 0.5000
Mn 0.0000 0.5000 0.0000
Mn 0.0000 0.0000 0.5000
Mn 0.5000 0.0000 0.0000
P 0.0000 0.0000 0.0000

The calculation puts the formation energy from raw total energies at 0.256 eV per atom. The calculation puts the size of the total moment at 1.64 μB/atom. The space group is Pm-3m, No. 221.



Here is an optimized crystal structure of Rb2CeTa6Br15O3 from the Alexandria database. Energies are from GGA-PBEsol.

a = 9.4050 Å, b = 9.4050 Å, c = 17.8239 Å
α = 90.00°, β = 90.00°, γ = 120.00°
Sites, in units of the cell vectors:
Rb 0.3333 0.6667 0.4590
Rb 0.6667 0.3333 0.5410
Rb 0.3333 0.6667 0.0410
Rb 0.6667 0.3333 0.9590
Ce 0.6667 0.3333 0.2500
Ce 0.3333 0.6667 0.7500
Ta 0.8257 0.0163 0.3146
Ta 0.1743 0.9837 0.6854
Ta 0.1907 0.1743 0.3146
Ta 0.8257 0.8093 0.1854
Ta 0.8093 0.8257 0.6854
Ta 0.1743 0.1907 0.8146
Ta 0.9837 0.8093 0.3146
Ta 0.1907 0.0163 0.1854
Ta 0.0163 0.1907 0.6854
Ta 0.8093 0.9837 0.8146
Ta 0.9837 0.1743 0.1854
Ta 0.0163 0.8257 0.8146
Br 0.5689 0.7844 0.2500
Br 0.4311 0.2156 0.7500
Br 0.2156 0.4311 0.2500
Br 0.7844 0.5689 0.7500
Br 0.2156 0.7844 0.2500
Br 0.7844 0.2156 0.7500
Br 0.0187 0.2242 0.4151
Br 0.9813 0.7758 0.5849
Br 0.2055 0.9813 0.4151
Br 0.0187 0.7945 0.0849
Br 0.7945 0.0187 0.5849
Br 0.9813 0.2055 0.9151
Br 0.7758 0.7945 0.4151
Br 0.2055 0.2242 0.0849
Br 0.2242 0.2055 0.5849
Br 0.7945 0.7758 0.9151
Br 0.7758 0.9813 0.0849
Br 0.2242 0.0187 0.9151
Br 0.6006 0.0726 0.3847
Br 0.3994 0.9274 0.6153
Br 0.4720 0.3994 0.3847
Br 0.6006 0.5280 0.1153
Br 0.5280 0.6006 0.6153
Br 0.3994 0.4720 0.8847
Br 0.9274 0.5280 0.3847
Br 0.4720 0.0726 0.1153
Br 0.0726 0.4720 0.6153
Br 0.5280 0.9274 0.8847
Br 0.9274 0.3994 0.1153
Br 0.0726 0.6006 0.8847
O 0.3668 0.1834 0.2500
O 0.6332 0.8166 0.7500
O 0.8166 0.6332 0.2500
O 0.1834 0.3668 0.7500
O 0.8166 0.1834 0.2500
O 0.1834 0.8166 0.7500

The calculation puts the formation energy from raw total energies at -1.457 eV per atom. The calculation puts the size of the total moment at 0.04 μB/atom. The space group is P-31c, No. 163.